No. 1
Density functional theory data (PBE) for crystalline Ba2NaNiAu at its relaxed geometry.

Lattice parameters (Å, degrees): 5.9939 5.9939 4.9674 90.00 90.00 90.00
Fractional positions:
Au (0.0000, 0.0000, 0.5000)
Ba (0.0000, 0.5000, 0.0000)
Ba (0.5000, 0.0000, 0.0000)
Na (0.5000, 0.5000, 0.5000)
Ni (0.0000, 0.0000, 0.0000)

Summary:
Energy relative to the lowest polymorph listed for this composition ... 0.000 eV per atom
Total magnetization ... 0.00 μB per cell
Crystal system ... tetragonal
Uncorrected energy ... -0.21731 Ry per atom
E_form ... -0.112 eV per atom
Space group ... P4/mmm (123)

---

No. 2
Density functional theory data (PBE) for crystalline Hf2Al6Ir at its relaxed geometry.

Lattice parameters (Å, degrees): 3.0798 7.3364 7.9741 117.39 90.03 90.00
Fractional positions:
Al (0.0003, 0.6650, 0.6866)
Al (0.0003, 0.0216, 0.6866)
Al (0.9997, 0.9784, 0.3134)
Al (0.5000, 0.7058, 0.0000)
Al (0.9997, 0.3350, 0.3134)
Al (0.5000, 0.2942, 0.0000)
Ir (0.0000, 0.0000, 0.0000)
Hf (0.5003, 0.3097, 0.6194)
Hf (0.4997, 0.6903, 0.3806)

Summary:
Total magnetization ... 0.00 μB per cell
Crystal system ... orthorhombic
Uncorrected energy ... -0.43988 Ry per atom
E_form ... -0.293 eV per atom
Space group ... Cmmm (65)

---

No. 3
Density functional theory data (PBE) for crystalline LaFeMo at its relaxed geometry.

Lattice parameters (Å, degrees): 4.4539 4.4539 4.4539 60.00 60.00 60.00
Fractional positions:
Fe (0.7500, 0.7500, 0.7500)
Mo (0.5000, 0.5000, 0.5000)
La (0.0000, 0.0000, 0.0000)

Summary:
Energy relative to the lowest polymorph listed for this composition ... 0.504 eV per atom
Total magnetization ... 0.10 μB per cell
Crystal system ... cubic
Uncorrected energy ... -0.53409 Ry per atom
E_form ... 0.807 eV per atom
Space group ... F-43m (216)

---

No. 4
Density functional theory data (PBE) for crystalline K2InP at its relaxed geometry.

Lattice parameters (Å, degrees): 6.8454 6.8454 6.8454 145.83 131.33 60.81
Fractional positions:
P (0.4635, 0.4635, 0.0000)
In (0.3214, 0.8214, 0.5000)
K (0.0205, 0.0205, 0.0000)
K (0.6946, 0.1946, 0.5000)

Summary:
Energy relative to the lowest polymorph listed for this composition ... 0.013 eV per atom
Total magnetization ... 0.00 μB per cell
Crystal system ... orthorhombic
Uncorrected energy ... -0.20882 Ry per atom
E_form ... -0.255 eV per atom
Space group ... Imm2 (44)

---

No. 5
Density functional theory data (PBE) for crystalline MnTcOs2 at its relaxed geometry.

Lattice parameters (Å, degrees): 3.7997 3.8142 3.8142 90.00 90.00 90.00
Fractional positions:
Mn (0.5000, 0.0000, 0.5000)
Os (0.0000, 0.0000, 0.0000)
Os (0.0000, 0.5000, 0.5000)
Tc (0.5000, 0.5000, 0.0000)

Summary:
Energy relative to the lowest polymorph listed for this composition ... 0.000 eV per atom
Total magnetization ... 1.29 μB per cell
Crystal system ... tetragonal
Uncorrected energy ... -0.76696 Ry per atom
E_form ... 0.064 eV per atom
Space group ... P4/mmm (123)

---

No. 6
Density functional theory data (PBE) for crystalline Ta2OsPb at its relaxed geometry.

Lattice parameters (Å, degrees): 5.7831 5.7831 5.7831 148.35 131.82 58.79
Fractional positions:
Os (0.5169, 0.5169, 0.0000)
Pb (0.2684, 0.7684, 0.5000)
Ta (0.9843, 0.9843, 0.0000)
Ta (0.7305, 0.2305, 0.5000)

Summary:
Total magnetization ... 0.00 μB per cell
Crystal system ... orthorhombic
Uncorrected energy ... -0.68114 Ry per atom
E_form ... 0.393 eV per atom
Space group ... Imm2 (44)

---

What did the first record say?
Density functional theory data (PBE) for crystalline Ba2NaNiAu at its relaxed geometry.

Lattice parameters (Å, degrees): 5.9939 5.9939 4.9674 90.00 90.00 90.00
Fractional positions:
Au (0.0000, 0.0000, 0.5000)
Ba (0.0000, 0.5000, 0.0000)
Ba (0.5000, 0.0000, 0.0000)
Na (0.5000, 0.5000, 0.5000)
Ni (0.0000, 0.0000, 0.0000)

Summary:
Energy relative to the lowest polymorph listed for this composition ... 0.000 eV per atom
Total magnetization ... 0.00 μB per cell
Crystal system ... tetragonal
Uncorrected energy ... -0.21731 Ry per atom
E_form ... -0.112 eV per atom
Space group ... P4/mmm (123)

---

> Look up the total magnetization of the fourth one.

0.00 μB per cell